! CsCe2ZnS5 PBE-GGA relaxed; values from VASP
! Energy relative to the elements, uncorrected, meV per atom: -1533
&SYSTEM
  ibrav = 0, nat = 18, ntyp = 4
/
ATOMIC_SPECIES
S 32.06 S.upf
Cs 132.91 Cs.upf
Ce 140.12 Ce.upf
Zn 65.41 Zn.upf
CELL_PARAMETERS angstrom
7.916 0.000 0.000
0.000 7.916 0.000
-3.958 -3.958 7.002
ATOMIC_POSITIONS crystal
S 0.000 0.000 0.000
S 0.500 0.500 0.000
S 0.265 0.765 0.249
S 0.735 0.235 0.751
S 0.765 0.984 0.249
S 0.984 0.484 0.249
S 0.516 0.735 0.751
S 0.235 0.016 0.751
S 0.484 0.265 0.249
S 0.016 0.516 0.751
Cs 0.750 0.750 0.500
Cs 0.250 0.250 0.500
Ce 0.334 0.834 0.000
Ce 0.834 0.666 0.000
Ce 0.166 0.334 0.000
Ce 0.666 0.166 0.000
Zn 0.750 0.250 0.500
Zn 0.250 0.750 0.500

---

! Cs2Ce2ZnS6 PBE-GGA relaxed; values from VASP
! Energy relative to the elements, uncorrected, meV per atom: -1418
&SYSTEM
  ibrav = 0, nat = 11, ntyp = 4
/
ATOMIC_SPECIES
S 32.06 S.upf
Zn 65.41 Zn.upf
Ce 140.12 Ce.upf
Cs 132.91 Cs.upf
CELL_PARAMETERS angstrom
7.301 -0.343 0.090
-3.906 6.177 0.090
-1.177 -2.023 8.144
ATOMIC_POSITIONS crystal
S 0.049 0.424 0.686
S 0.951 0.576 0.314
S 0.761 0.761 0.647
S 0.239 0.239 0.353
S 0.424 0.049 0.686
S 0.576 0.951 0.314
Zn 0.000 0.000 0.500
Ce 0.334 0.666 0.500
Ce 0.666 0.334 0.500
Cs 0.849 0.151 0.000
Cs 0.151 0.849 0.000

---

! Cs3Ce2ZnS6 PBE-GGA relaxed; values from VASP
! Energy relative to the elements, uncorrected, meV per atom: -1406
&SYSTEM
  ibrav = 0, nat = 12, ntyp = 4
/
ATOMIC_SPECIES
S 32.06 S.upf
Cs 132.91 Cs.upf
Ce 140.12 Ce.upf
Zn 65.41 Zn.upf
CELL_PARAMETERS angstrom
7.140 0.008 -0.001
-3.561 6.189 -0.001
-1.194 -2.068 8.018
ATOMIC_POSITIONS crystal
S 0.266 0.266 0.820
S 0.617 0.940 0.821
S 0.060 0.383 0.179
S 0.734 0.734 0.180
S 0.383 0.060 0.179
S 0.940 0.617 0.821
Cs 0.834 0.166 0.500
Cs 0.500 0.500 0.500
Cs 0.166 0.834 0.500
Ce 0.667 0.333 0.000
Ce 0.333 0.667 0.000
Zn 0.000 0.000 0.000

---

! CsCeZnS4 PBE-GGA relaxed; values from VASP
! Energy relative to the elements, uncorrected, meV per atom: -1225
&SYSTEM
  ibrav = 0, nat = 14, ntyp = 4
/
ATOMIC_SPECIES
S 32.06 S.upf
Ce 140.12 Ce.upf
Cs 132.91 Cs.upf
Zn 65.41 Zn.upf
CELL_PARAMETERS angstrom
-5.041 -2.663 4.173
-1.475 -3.482 -4.003
8.034 -5.560 1.877
ATOMIC_POSITIONS crystal
S 0.996 0.480 0.311
S 0.996 0.020 0.311
S 0.471 0.750 0.193
S 0.004 0.520 0.689
S 0.529 0.250 0.807
S 0.416 0.750 0.567
S 0.004 0.980 0.689
S 0.584 0.250 0.433
Ce 0.266 0.250 0.557
Ce 0.734 0.750 0.443
Cs 0.761 0.750 0.964
Cs 0.239 0.250 0.036
Zn 0.738 0.250 0.670
Zn 0.262 0.750 0.330

---

! Cs2CeSbSe4 PBE-GGA relaxed; values from VASP
! Energy relative to the elements, uncorrected, meV per atom: -1007
&SYSTEM
  ibrav = 0, nat = 8, ntyp = 4
/
ATOMIC_SPECIES
Se 78.96 Se.upf
Cs 132.91 Cs.upf
Ce 140.12 Ce.upf
Sb 121.76 Sb.upf
CELL_PARAMETERS angstrom
7.713 0.019 0.030
-3.269 6.986 -0.030
-3.269 -2.838 6.383
ATOMIC_POSITIONS crystal
Se 0.420 0.868 0.787
Se 0.580 0.367 0.449
Se 0.918 0.551 0.132
Se 0.082 0.213 0.633
Cs 0.000 0.000 0.000
Cs 0.500 0.750 0.250
Ce 0.500 0.250 0.750
Sb 0.000 0.500 0.500

---

! Cs2CeSb2Se6 PBE-GGA relaxed; values from VASP
! Energy relative to the elements, uncorrected, meV per atom: -873
&SYSTEM
  ibrav = 0, nat = 11, ntyp = 4
/
ATOMIC_SPECIES
Se 78.96 Se.upf
Sb 121.76 Sb.upf
Ce 140.12 Ce.upf
Cs 132.91 Cs.upf
CELL_PARAMETERS angstrom
7.808 0.000 0.000
-3.904 6.291 0.022
0.000 -3.505 8.519
ATOMIC_POSITIONS crystal
Se 0.701 0.918 0.241
Se 0.265 0.530 0.448
Se 0.218 0.918 0.241
Se 0.735 0.470 0.552
Se 0.299 0.082 0.759
Se 0.782 0.082 0.759
Sb 0.077 0.154 0.206
Sb 0.923 0.846 0.794
Ce 0.500 0.000 0.500
Cs 0.697 0.393 0.146
Cs 0.303 0.607 0.854